(1)
# Tb4Sm2Ho, relaxed, DFT PBE
# **Theoretical density**: 8.0 g/cm3
# **Polymorph energy (0 for the lowest one)**: 0.00 kcal/mol of atoms
# **Total magnetic moment**: 0.000 μB per formula unit
# **Uncorrected energy**: -4.5538 eV per atom
data_Tb4Sm2Ho
_chemical_formula_sum 'Tb16 Sm8 Ho4'
_cell_length_a 12.628
_cell_length_b 3.697
_cell_length_c 19.708
_cell_angle_alpha 90.00
_cell_angle_beta 95.09
_cell_angle_gamma 90.00
_space_group_name_H-M_alt 'C 1 2/m 1'
_space_group_IT_number 12
_space_group_name_Hall '-C 2y'
loop_
_atom_site_label
_atom_site_type_symbol
_atom_site_fract_x
_atom_site_fract_y
_atom_site_fract_z
Tb1 Tb 0.079 0.000 0.327
Tb2 Tb 0.193 0.500 0.210
Tb3 Tb 0.228 0.500 0.433
Tb4 Tb 0.235 0.000 0.070
Sm1 Sm 0.047 0.000 0.843
Sm2 Sm 0.132 0.500 0.674
Ho1 Ho 0.000 0.000 0.500
Ho2 Ho 0.000 0.500 0.000

---

(2)
# TbSm2Ho3, relaxed, DFT PBE
# **Theoretical density**: 8.1 g/cm3
# **Polymorph energy (0 for the lowest one)**: 2.18 kcal/mol of atoms
# **Total magnetic moment**: 0.000 μB per formula unit
# **Uncorrected energy**: -4.4372 eV per atom
data_TbSm2Ho3
_chemical_formula_sum 'Tb4 Sm8 Ho12'
_cell_length_a 10.330
_cell_length_b 11.400
_cell_length_c 6.654
_cell_angle_alpha 90.00
_cell_angle_beta 90.62
_cell_angle_gamma 90.00
_space_group_name_H-M_alt 'C 1 2/c 1'
_space_group_IT_number 15
_space_group_name_Hall '-C 2yc'
loop_
_atom_site_label
_atom_site_type_symbol
_atom_site_fract_x
_atom_site_fract_y
_atom_site_fract_z
Tb1 Tb 0.000 0.000 0.000
Sm1 Sm 0.168 0.234 0.249
Ho1 Ho 0.000 0.268 0.750
Ho2 Ho 0.166 0.500 0.002

---

(3)
# Tb6Sm2Ho, relaxed, DFT PBE
# **Theoretical density**: 8.1 g/cm3
# **Total magnetic moment**: 0.000 μB per formula unit
# **Uncorrected energy**: -4.5327 eV per atom
data_Tb6Sm2Ho
_chemical_formula_sum 'Tb24 Sm8 Ho4'
_cell_length_a 10.704
_cell_length_b 17.709
_cell_length_c 6.134
_cell_angle_alpha 90.00
_cell_angle_beta 93.33
_cell_angle_gamma 90.00
_space_group_name_H-M_alt 'C 1 2/c 1'
_space_group_IT_number 15
_space_group_name_Hall '-C 2yc'
loop_
_atom_site_label
_atom_site_type_symbol
_atom_site_fract_x
_atom_site_fract_y
_atom_site_fract_z
Tb1 Tb 0.082 0.084 0.000
Tb2 Tb 0.082 0.415 0.001
Tb3 Tb 0.167 0.249 0.749
Sm1 Sm 0.250 0.082 0.498
Ho1 Ho 0.000 0.249 0.250

---

(4)
# TbSm15Ho4, relaxed, DFT PBE
# **Theoretical density**: 7.7 g/cm3
# **Total magnetic moment**: 0.000 μB per formula unit
# **Uncorrected energy**: -4.6710 eV per atom
data_TbSm15Ho4
_chemical_formula_sum 'Tb1 Sm15 Ho4'
_cell_length_a 5.100
_cell_length_b 5.100
_cell_length_c 25.428
_cell_angle_alpha 90.00
_cell_angle_beta 90.00
_cell_angle_gamma 90.00
_space_group_name_H-M_alt 'P 4/m m m'
_space_group_IT_number 123
_space_group_name_Hall '-P 4 2'
loop_
_atom_site_label
_atom_site_type_symbol
_atom_site_fract_x
_atom_site_fract_y
_atom_site_fract_z
Tb1 Tb 0.000 0.000 0.000
Sm1 Sm 0.000 0.500 0.100
Sm2 Sm 0.000 0.500 0.300
Sm3 Sm 0.000 0.500 0.500
Sm4 Sm 0.500 0.500 0.000
Sm5 Sm 0.500 0.500 0.200
Sm6 Sm 0.500 0.500 0.400
Ho1 Ho 0.000 0.000 0.200
Ho2 Ho 0.000 0.000 0.400

---

(5)
# Tb3SmHo4, relaxed, DFT PBE
# **Theoretical density**: 8.2 g/cm3
# **Polymorph energy (0 for the lowest one)**: 4.56 kcal/mol of atoms
# **Total magnetic moment**: 0.000 μB per formula unit
# **Uncorrected energy**: -4.4065 eV per atom
data_Tb3SmHo4
_chemical_formula_sum 'Tb6 Sm2 Ho8'
_cell_length_a 5.634
_cell_length_b 26.162
_cell_length_c 3.537
_cell_angle_alpha 90.00
_cell_angle_beta 90.00
_cell_angle_gamma 90.00
_space_group_name_H-M_alt 'C m m m'
_space_group_IT_number 65
_space_group_name_Hall '-C 2 2'
loop_
_atom_site_label
_atom_site_type_symbol
_atom_site_fract_x
_atom_site_fract_y
_atom_site_fract_z
Tb1 Tb 0.000 0.000 0.000
Tb2 Tb 0.000 0.156 0.500
Sm1 Sm 0.000 0.500 0.500
Ho1 Ho 0.000 0.276 0.000
Ho2 Ho 0.000 0.395 0.000

---

(6)
# Tb5SmHo5, relaxed, DFT PBE
# **Theoretical density**: 8.0 g/cm3
# **Total magnetic moment**: 0.000 μB per formula unit
# **Uncorrected energy**: -4.2954 eV per atom
data_Tb5SmHo5
_chemical_formula_sum 'Tb5 Sm1 Ho5'
_cell_length_a 6.0539
_cell_length_b 6.0539
_cell_length_c 11.5829
_cell_angle_alpha 90.00
_cell_angle_beta 90.00
_cell_angle_gamma 120.00
_space_group_name_H-M_alt 'P -6 m 2'
_space_group_IT_number 187
_space_group_name_Hall 'P -6 2'
loop_
_atom_site_label
_atom_site_type_symbol
_atom_site_fract_x
_atom_site_fract_y
_atom_site_fract_z
Tb1 Tb 0.0000 0.0000 0.0000
Tb2 Tb 0.3333 0.6667 0.3217
Tb3 Tb 0.6667 0.3333 0.1565
Sm1 Sm 0.3333 0.6667 0.0000
Ho1 Ho 0.0000 0.0000 0.2651
Ho2 Ho 0.3348 0.1674 0.5000

---

(7)
# Tb2Sm5Ho3, relaxed, DFT PBE
# **Theoretical density**: 7.8 g/cm3
# **Polymorph energy (0 for the lowest one)**: 0.00 kcal/mol of atoms
# **Total magnetic moment**: 0.000 μB per formula unit
# **Uncorrected energy**: -4.4641 eV per atom
data_Tb2Sm5Ho3
_chemical_formula_sum 'Tb8 Sm20 Ho12'
_cell_length_a 10.726
_cell_length_b 15.240
_cell_length_c 9.772
_cell_angle_alpha 90.00
_cell_angle_beta 123.13
_cell_angle_gamma 90.00
_space_group_name_H-M_alt 'C 1 2/c 1'
_space_group_IT_number 15
_space_group_name_Hall '-C 2yc'
loop_
_atom_site_label
_atom_site_type_symbol
_atom_site_fract_x
_atom_site_fract_y
_atom_site_fract_z
Tb1 Tb 0.145 0.123 0.052
Sm1 Sm 0.000 0.230 0.250
Sm2 Sm 0.000 0.272 0.750
Sm3 Sm 0.000 0.472 0.750
Sm4 Sm 0.237 0.380 0.225
Ho1 Ho 0.000 0.023 0.250
Ho2 Ho 0.158 0.378 0.551

---

(8)
# Tb3Sm2Ho, relaxed, DFT PBE
# **Theoretical density**: 7.9 g/cm3
# **Polymorph energy (0 for the lowest one)**: 2.22 kcal/mol of atoms
# **Total magnetic moment**: 0.000 μB per formula unit
# **Uncorrected energy**: -4.4911 eV per atom
data_Tb3Sm2Ho
_chemical_formula_sum 'Tb12 Sm8 Ho4'
_cell_length_a 14.964
_cell_length_b 9.628
_cell_length_c 6.011
_cell_angle_alpha 90.00
_cell_angle_beta 113.67
_cell_angle_gamma 90.00
_space_group_name_H-M_alt 'C 1 2/c 1'
_space_group_IT_number 15
_space_group_name_Hall '-C 2yc'
loop_
_atom_site_label
_atom_site_type_symbol
_atom_site_fract_x
_atom_site_fract_y
_atom_site_fract_z
Tb1 Tb 0.000 0.109 0.250
Tb2 Tb 0.233 0.417 0.489
Sm1 Sm 0.134 0.220 0.881
Ho1 Ho 0.000 0.500 0.000

---

(9)
# TbSm7Ho12, relaxed, DFT PBE
# **Theoretical density**: 7.5 g/cm3
# **Polymorph energy (0 for the lowest one)**: 8.79 kcal/mol of atoms
# **Total magnetic moment**: 0.000 μB per formula unit
# **Uncorrected energy**: -3.9615 eV per atom
data_TbSm7Ho12
_chemical_formula_sum 'Tb2 Sm14 Ho24'
_cell_length_a 11.244
_cell_length_b 11.244
_cell_length_c 11.244
_cell_angle_alpha 90.00
_cell_angle_beta 90.00
_cell_angle_gamma 90.00
_space_group_name_H-M_alt 'I m -3 m'
_space_group_IT_number 229
_space_group_name_Hall '-I 4 2 3'
loop_
_atom_site_label
_atom_site_type_symbol
_atom_site_fract_x
_atom_site_fract_y
_atom_site_fract_z
Tb1 Tb 0.000 0.000 0.000
Sm1 Sm 0.000 0.000 0.500
Sm2 Sm 0.250 0.250 0.250
Ho1 Ho 0.000 0.248 0.248

---

(10)
# Tb4Sm19Ho6, relaxed, DFT PBE
# **Theoretical density**: 7.5 g/cm3
# **Total magnetic moment**: 0.000 μB per formula unit
# **Uncorrected energy**: -4.3037 eV per atom
data_Tb4Sm19Ho6
_chemical_formula_sum 'Tb8 Sm38 Ho12'
_cell_length_a 12.582
_cell_length_b 12.582
_cell_length_c 12.582
_cell_angle_alpha 90.00
_cell_angle_beta 90.00
_cell_angle_gamma 90.00
_space_group_name_H-M_alt 'I 2 3'
_space_group_IT_number 197
_space_group_name_Hall 'I 2 2 3'
loop_
_atom_site_label
_atom_site_type_symbol
_atom_site_fract_x
_atom_site_fract_y
_atom_site_fract_z
Tb1 Tb 0.180 0.180 0.180
Sm1 Sm 0.000 0.000 0.000
Sm2 Sm 0.000 0.000 0.260
Sm3 Sm 0.062 0.280 0.737
Ho1 Ho 0.000 0.125 0.500

---

(11)
# Tb3Sm4Ho8, relaxed, DFT PBE
# **Theoretical density**: 8.1 g/cm3
# **Polymorph energy (0 for the lowest one)**: 0.00 kcal/mol of atoms
# **Total magnetic moment**: 0.000 μB per formula unit
# **Uncorrected energy**: -4.4973 eV per atom
data_Tb3Sm4Ho8
_chemical_formula_sum 'Tb9 Sm12 Ho24'
_cell_length_a 6.9372
_cell_length_b 6.9372
_cell_length_c 35.3006
_cell_angle_alpha 90.00
_cell_angle_beta 90.00
_cell_angle_gamma 120.00
_space_group_name_H-M_alt 'R -3 m'
_space_group_IT_number 166
_space_group_name_Hall '-R 3 2"'
loop_
_atom_site_label
_atom_site_type_symbol
_atom_site_fract_x
_atom_site_fract_y
_atom_site_fract_z
Tb1 Tb 0.0000 0.5000 0.0000
Sm1 Sm 0.0000 0.0000 0.0000
Sm2 Sm 0.0000 0.0000 0.1636
Sm3 Sm 0.0000 0.0000 0.5000
Ho1 Ho 0.0000 0.0000 0.2549
Ho2 Ho 0.0016 0.5008 0.2507

---

(12)
# TbSm7Ho3, relaxed, DFT PBE
# **Theoretical density**: 7.6 g/cm3
# **Polymorph energy (0 for the lowest one)**: 2.66 kcal/mol of atoms
# **Total magnetic moment**: 0.143 μB per formula unit
# **Uncorrected energy**: -4.4324 eV per atom
data_TbSm7Ho3
_chemical_formula_sum 'Tb2 Sm14 Ho6'
_cell_length_a 12.730
_cell_length_b 11.266
_cell_length_c 5.857
_cell_angle_alpha 90.00
_cell_angle_beta 117.35
_cell_angle_gamma 90.00
_space_group_name_H-M_alt 'C 1 2/m 1'
_space_group_IT_number 12
_space_group_name_Hall '-C 2y'
loop_
_atom_site_label
_atom_site_type_symbol
_atom_site_fract_x
_atom_site_fract_y
_atom_site_fract_z
Tb1 Tb 0.000 0.000 0.000
Sm1 Sm 0.000 0.000 0.500
Sm2 Sm 0.194 0.292 0.194
Sm3 Sm 0.209 0.500 0.707
Ho1 Ho 0.000 0.296 0.500
Ho2 Ho 0.000 0.500 0.000

---

(13)
# Tb3Sm5Ho4, relaxed, DFT PBE
# **Theoretical density**: 8.1 g/cm3
# **Polymorph energy (0 for the lowest one)**: 0.00 kcal/mol of atoms
# **Total magnetic moment**: 0.000 μB per formula unit
# **Uncorrected energy**: -4.6347 eV per atom
data_Tb3Sm5Ho4
_chemical_formula_sum 'Tb3 Sm5 Ho4'
_cell_length_a 6.192
_cell_length_b 7.152
_cell_length_c 8.751
_cell_angle_alpha 90.08
_cell_angle_beta 90.06
_cell_angle_gamma 90.12
_space_group_name_H-M_alt 'P -1'
_space_group_IT_number 2
_space_group_name_Hall '-P 1'
loop_
_atom_site_label
_atom_site_type_symbol
_atom_site_fract_x
_atom_site_fract_y
_atom_site_fract_z
Tb1 Tb 0.000 0.000 0.000
Tb2 Tb 0.166 0.749 0.665
Sm1 Sm 0.000 0.500 0.000
Sm2 Sm 0.332 0.000 0.335
Sm3 Sm 0.500 0.251 0.000
Ho1 Ho 0.166 0.251 0.665
Ho2 Ho 0.334 0.500 0.335

---

(14)
# Tb2Sm2Ho3, relaxed, DFT PBE
# **Theoretical density**: 8.1 g/cm3
# **Polymorph energy (0 for the lowest one)**: 2.35 kcal/mol of atoms
# **Total magnetic moment**: 0.000 μB per formula unit
# **Uncorrected energy**: -4.5135 eV per atom
data_Tb2Sm2Ho3
_chemical_formula_sum 'Tb4 Sm4 Ho6'
_cell_length_a 17.470
_cell_length_b 3.501
_cell_length_c 8.546
_cell_angle_alpha 90.00
_cell_angle_beta 119.18
_cell_angle_gamma 90.00
_space_group_name_H-M_alt 'C 1 2/m 1'
_space_group_IT_number 12
_space_group_name_Hall '-C 2y'
loop_
_atom_site_label
_atom_site_type_symbol
_atom_site_fract_x
_atom_site_fract_y
_atom_site_fract_z
Tb1 Tb 0.149 0.000 0.331
Sm1 Sm 0.066 0.500 0.910
Ho1 Ho 0.000 0.000 0.500
Ho2 Ho 0.212 0.000 0.801

---

(15)
# Tb5Sm6Ho, relaxed, DFT PBE
# **Theoretical density**: 7.9 g/cm3
# **Polymorph energy (0 for the lowest one)**: 0.00 kcal/mol of atoms
# **Total magnetic moment**: 0.000 μB per formula unit
# **Uncorrected energy**: -4.6576 eV per atom
data_Tb5Sm6Ho
_chemical_formula_sum 'Tb10 Sm12 Ho2'
_cell_length_a 6.226
_cell_length_b 10.778
_cell_length_c 11.872
_cell_angle_alpha 90.00
_cell_angle_beta 100.03
_cell_angle_gamma 90.00
_space_group_name_H-M_alt 'C 1 2/m 1'
_space_group_IT_number 12
_space_group_name_Hall '-C 2y'
loop_
_atom_site_label
_atom_site_type_symbol
_atom_site_fract_x
_atom_site_fract_y
_atom_site_fract_z
Tb1 Tb 0.000 0.000 0.000
Tb2 Tb 0.000 0.167 0.500
Tb3 Tb 0.000 0.333 0.000
Sm1 Sm 0.249 0.333 0.750
Sm2 Sm 0.250 0.000 0.750
Ho1 Ho 0.000 0.500 0.500

---

(16)
# Tb3Sm4Ho5, relaxed, DFT PBE
# **Theoretical density**: 8.0 g/cm3
# **Polymorph energy (0 for the lowest one)**: 4.97 kcal/mol of atoms
# **Total magnetic moment**: 0.442 μB per formula unit
# **Uncorrected energy**: -4.4067 eV per atom
data_Tb3Sm4Ho5
_chemical_formula_sum 'Tb6 Sm8 Ho10'
_cell_length_a 16.036
_cell_length_b 5.909
_cell_length_c 9.312
_cell_angle_alpha 90.00
_cell_angle_beta 116.36
_cell_angle_gamma 90.00
_space_group_name_H-M_alt 'C 1 2/m 1'
_space_group_IT_number 12
_space_group_name_Hall '-C 2y'
loop_
_atom_site_label
_atom_site_type_symbol
_atom_site_fract_x
_atom_site_fract_y
_atom_site_fract_z
Tb1 Tb 0.000 0.000 0.000
Tb2 Tb 0.210 0.500 0.234
Sm1 Sm 0.083 0.500 0.444
Sm2 Sm 0.214 0.500 0.881
Ho1 Ho 0.000 0.500 0.000
Ho2 Ho 0.072 0.000 0.700
Ho3 Ho 0.172 0.000 0.386

---

(17)
# Tb8SmHo4, relaxed, DFT PBE
# **Theoretical density**: 8.3 g/cm3
# **Total magnetic moment**: 0.000 μB per formula unit
# **Uncorrected energy**: -4.4229 eV per atom
data_Tb8SmHo4
_chemical_formula_sum 'Tb24 Sm3 Ho12'
_cell_length_a 7.2816
_cell_length_b 7.2816
_cell_length_c 27.2722
_cell_angle_alpha 90.00
_cell_angle_beta 90.00
_cell_angle_gamma 120.00
_space_group_name_H-M_alt 'R -3 m'
_space_group_IT_number 166
_space_group_name_Hall '-R 3 2"'
loop_
_atom_site_label
_atom_site_type_symbol
_atom_site_fract_x
_atom_site_fract_y
_atom_site_fract_z
Tb1 Tb 0.0000 0.0000 0.2172
Tb2 Tb 0.0359 0.5179 0.7674
Sm1 Sm 0.0000 0.0000 0.5000
Ho1 Ho 0.0000 0.0000 0.0000
Ho2 Ho 0.0000 0.5000 0.0000

---

(18)
# Tb4Sm6Ho, relaxed, DFT PBE
# **Theoretical density**: 7.4 g/cm3
# **Polymorph energy (0 for the lowest one)**: 6.15 kcal/mol of atoms
# **Total magnetic moment**: 0.000 μB per formula unit
# **Uncorrected energy**: -4.2871 eV per atom
data_Tb4Sm6Ho
_chemical_formula_sum 'Tb8 Sm12 Ho2'
_cell_length_a 7.532
_cell_length_b 7.532
_cell_length_c 13.528
_cell_angle_alpha 90.00
_cell_angle_beta 90.00
_cell_angle_gamma 90.00
_space_group_name_H-M_alt 'I -4 2 m'
_space_group_IT_number 121
_space_group_name_Hall 'I -4 2'
loop_
_atom_site_label
_atom_site_type_symbol
_atom_site_fract_x
_atom_site_fract_y
_atom_site_fract_z
Tb1 Tb 0.167 0.167 0.420
Sm1 Sm 0.000 0.500 0.000
Sm2 Sm 0.228 0.228 0.187
Ho1 Ho 0.000 0.000 0.000